The following is a DFT calculation (PBE) of crystalline MgScTe2I at its relaxed geometry.

Volume (Å³/cell): 164.6
Space group: No. 123
E (eV/atom): -3.2728
Relative energy among the computed polymorphs (eV/atom): 0.299
Size of the total moment (μB/cell): 0.3
Uncorrected formation energy (eV per atom): -0.121

```
data_MgScTe2I
_chemical_formula_sum 'Mg1 Sc1 Te2 I1'
_symmetry_space_group_name_H-M 'P 1'
_symmetry_Int_Tables_number 1
_symmetry_space_group_name_Hall 'P 1'
_cell_length_a 5.506
_cell_length_b 5.506
_cell_length_c 5.429
_cell_angle_alpha 90.00
_cell_angle_beta 90.00
_cell_angle_gamma 90.00
loop_
_atom_site_label
_atom_site_type_symbol
_atom_site_fract_x
_atom_site_fract_y
_atom_site_fract_z
I1 I 0.000 0.000 0.500
Sc1 Sc 0.500 0.500 0.500
Mg1 Mg 0.000 0.000 0.000
Te1 Te 0.000 0.500 0.000
Te2 Te 0.500 0.000 0.000
```

=====

The following is a DFT calculation (PBE) of crystalline MgScTeI2 at its relaxed geometry.

Volume (Å³/cell): 174.0
Space group: No. 123
E (eV/atom): -3.0712
Relative energy among the computed polymorphs (eV/atom): 0.301
Size of the total moment (μB/cell): 1.0
Uncorrected formation energy (eV per atom): -0.238

```
data_MgScTeI2
_chemical_formula_sum 'Mg1 Sc1 Te1 I2'
_symmetry_space_group_name_H-M 'P 1'
_symmetry_Int_Tables_number 1
_symmetry_space_group_name_Hall 'P 1'
_cell_length_a 5.487
_cell_length_b 5.487
_cell_length_c 5.779
_cell_angle_alpha 90.00
_cell_angle_beta 90.00
_cell_angle_gamma 90.00
loop_
_atom_site_label
_atom_site_type_symbol
_atom_site_fract_x
_atom_site_fract_y
_atom_site_fract_z
I1 I 0.000 0.500 0.000
I2 I 0.500 0.000 0.000
Sc1 Sc 0.500 0.500 0.500
Mg1 Mg 0.000 0.000 0.000
Te1 Te 0.000 0.000 0.500
```

=====

The following is a DFT calculation (PBE) of crystalline MgScTe2I at its relaxed geometry.

Volume (Å³/cell): 178.0
Space group: No. 123
E (eV/atom): -3.5716
Relative energy among the computed polymorphs (eV/atom): 0.000
Size of the total moment (μB/cell): 0.0
Uncorrected formation energy (eV per atom): -0.420

```
data_MgScTe2I
_chemical_formula_sum 'Mg1 Sc1 Te2 I1'
_symmetry_space_group_name_H-M 'P 1'
_symmetry_Int_Tables_number 1
_symmetry_space_group_name_Hall 'P 1'
_cell_length_a 5.618
_cell_length_b 5.618
_cell_length_c 5.639
_cell_angle_alpha 90.00
_cell_angle_beta 90.00
_cell_angle_gamma 90.00
loop_
_atom_site_label
_atom_site_type_symbol
_atom_site_fract_x
_atom_site_fract_y
_atom_site_fract_z
I1 I 0.000 0.000 0.500
Sc1 Sc 0.000 0.000 0.000
Mg1 Mg 0.500 0.500 0.500
Te1 Te 0.000 0.500 0.000
Te2 Te 0.500 0.000 0.000
```

=====

> The lowest relative energy among the computed polymorphs belongs to which entry?

number 3